## HfCrBiO6 (PBE with a Hubbard U)

Data for HfCrBiO6 after structural relaxation.

abc: 4.839 4.839 9.675
angles: 90.00 90.00 90.00
Space group P4_2nm (No. 102)
Unique sites:
Hf 0.000 0.000 0.000 (multiplicity 2)
Cr 0.000 0.000 0.332 (multiplicity 2)
Bi 0.000 0.000 0.665 (multiplicity 2)
O 0.186 0.186 0.168 (multiplicity 4)
O 0.193 0.193 0.490 (multiplicity 4)
O 0.202 0.202 0.836 (multiplicity 4)

Summary:
- total DFT energy (no corrections) (eV/atom) = -7.69